# 1
NaTl2Sn6 after structural relaxation, computed with PBE. Values from VASP.

Computed properties:
space-group type = No. 191

The structure in Quantum ESPRESSO input format:
```
&SYSTEM
  ibrav = 0, nat = 9, ntyp = 3
/
ATOMIC_SPECIES
Na 22.99 Na.upf
Tl 204.38 Tl.upf
Sn 118.71 Sn.upf
CELL_PARAMETERS angstrom
9.560 0.000 0.000
-4.780 8.279 0.000
0.000 0.000 3.202
ATOMIC_POSITIONS angstrom
Na 0.000 0.000 0.000
Tl 0.000 5.520 0.000
Tl 4.780 2.760 0.000
Sn -1.575 2.728 1.601
Sn -3.205 5.552 1.601
Sn 3.150 0.000 1.601
Sn 1.575 2.728 1.601
Sn 6.411 0.000 1.601
Sn 3.205 5.552 1.601
```



# 2
NaAcTe2 after structural relaxation, computed with PBE. Values from VASP.

Computed properties:
polymorph energy (0 for the lowest one) = 194.4 meV/atom
raw formation energy = -1.201 eV per atom
space-group type = No. 123

The structure in Quantum ESPRESSO input format:
```
&SYSTEM
  ibrav = 0, nat = 4, ntyp = 3
/
ATOMIC_SPECIES
Na 22.99 Na.upf
Ac 227.00 Ac.upf
Te 127.60 Te.upf
CELL_PARAMETERS angstrom
4.086 0.000 0.000
0.000 4.086 0.000
0.000 0.000 8.207
ATOMIC_POSITIONS angstrom
Na 0.000 0.000 0.000
Ac 0.000 0.000 4.104
Te 2.043 2.043 2.154
Te 2.043 2.043 6.053
```



# 3
PmSm5Bi5 after structural relaxation, computed with PBE. Values from VASP.

Computed properties:
space-group type = No. 12

The structure in Quantum ESPRESSO input format:
```
&SYSTEM
  ibrav = 0, nat = 11, ntyp = 3
/
ATOMIC_SPECIES
Pm 145.00 Pm.upf
Sm 150.36 Sm.upf
Bi 208.98 Bi.upf
CELL_PARAMETERS angstrom
7.116 -3.201 0.000
7.116 3.201 0.000
-2.855 0.000 8.562
ATOMIC_POSITIONS angstrom
Pm 0.000 0.000 0.000
Sm -1.428 0.000 4.281
Sm 2.859 0.000 5.697
Sm 4.287 0.000 1.451
Sm 7.089 0.000 7.111
Sm 8.517 0.000 2.865
Bi 1.418 0.000 2.876
Bi 0.036 0.000 7.125
Bi 7.116 0.000 0.000
Bi 11.341 0.000 1.437
Bi 9.959 0.000 5.686
```



# 4
SrDyAs2Pd5 after structural relaxation, computed with PBE. Values from VASP.

Computed properties:
space-group type = No. 123

The structure in Quantum ESPRESSO input format:
```
&SYSTEM
  ibrav = 0, nat = 9, ntyp = 4
/
ATOMIC_SPECIES
Sr 87.62 Sr.upf
Dy 162.50 Dy.upf
As 74.92 As.upf
Pd 106.42 Pd.upf
CELL_PARAMETERS angstrom
4.376 0.000 0.000
0.000 4.376 0.000
0.000 0.000 8.970
ATOMIC_POSITIONS angstrom
Sr 0.000 0.000 0.000
Dy 0.000 0.000 4.485
As 2.188 2.188 3.252
As 2.188 2.188 5.718
Pd 0.000 2.188 2.143
Pd 0.000 2.188 6.828
Pd 2.188 0.000 2.143
Pd 2.188 0.000 6.828
Pd 2.188 2.188 0.000
```



# 5
VAsWSe2 after structural relaxation, computed with PBE. Values from VASP.

Computed properties:
polymorph energy (0 for the lowest one) = 0.0 meV/atom
raw formation energy = 0.938 eV per atom
space-group type = No. 123

The structure in Quantum ESPRESSO input format:
```
&SYSTEM
  ibrav = 0, nat = 5, ntyp = 4
/
ATOMIC_SPECIES
V 50.94 V.upf
As 74.92 As.upf
W 183.84 W.upf
Se 78.96 Se.upf
CELL_PARAMETERS angstrom
4.732 0.000 0.000
0.000 4.732 0.000
0.000 0.000 4.806
ATOMIC_POSITIONS angstrom
V 0.000 0.000 0.000
As 0.000 0.000 2.403
W 2.366 2.366 2.403
Se 0.000 2.366 0.000
Se 2.366 0.000 0.000
```



# 6
LiPm4Sm5 after structural relaxation, computed with PBE. Values from VASP.

Computed properties:
space-group type = No. 123

The structure in Quantum ESPRESSO input format:
```
&SYSTEM
  ibrav = 0, nat = 10, ntyp = 3
/
ATOMIC_SPECIES
Li 6.94 Li.upf
Pm 145.00 Pm.upf
Sm 150.36 Sm.upf
CELL_PARAMETERS angstrom
3.651 0.000 0.000
0.000 3.651 0.000
0.000 0.000 24.522
ATOMIC_POSITIONS angstrom
Li 0.000 0.000 0.000
Pm 0.000 0.000 4.534
Pm 0.000 0.000 9.684
Pm 0.000 0.000 14.839
Pm 0.000 0.000 19.988
Sm 1.826 1.826 2.023
Sm 1.826 1.826 7.105
Sm 1.826 1.826 12.261
Sm 1.826 1.826 17.417
Sm 1.826 1.826 22.499
```



# 7
Nd2H8Rh3 after structural relaxation, computed with PBE. Values from VASP.

Computed properties:
space-group type = No. 12

The structure in Quantum ESPRESSO input format:
```
&SYSTEM
  ibrav = 0, nat = 13, ntyp = 3
/
ATOMIC_SPECIES
Nd 144.24 Nd.upf
H 1.01 H.upf
Rh 102.91 Rh.upf
CELL_PARAMETERS angstrom
4.948 -2.862 0.000
4.948 2.862 0.000
-1.844 0.000 4.721
ATOMIC_POSITIONS angstrom
Nd 1.559 0.000 0.915
Nd 6.493 0.000 3.806
H 0.088 0.000 2.812
H 3.728 1.133 0.614
H 2.770 0.000 2.975
H 4.324 1.133 4.107
H 3.728 -1.133 0.614
H 5.282 0.000 1.746
H 4.324 -1.133 4.107
H 7.964 0.000 1.909
Rh 4.026 1.444 2.361
Rh 4.948 0.000 0.000
Rh 4.026 -1.444 2.361
```



# 8
Ba2Al6CuPd after structural relaxation, computed with PBE. Values from VASP.

Computed properties:
space-group type = No. 12

The structure in Quantum ESPRESSO input format:
```
&SYSTEM
  ibrav = 0, nat = 10, ntyp = 4
/
ATOMIC_SPECIES
Ba 137.33 Ba.upf
Al 26.98 Al.upf
Cu 63.55 Cu.upf
Pd 106.42 Pd.upf
CELL_PARAMETERS angstrom
5.783 -3.333 0.000
5.783 3.333 0.000
-3.876 0.000 6.006
ATOMIC_POSITIONS angstrom
Ba 1.930 0.000 0.648
Ba 5.759 0.000 5.358
Al 0.393 0.000 3.888
Al 2.679 1.313 3.882
Al 5.010 1.313 2.124
Al 2.679 -1.313 3.882
Al 5.010 -1.313 2.124
Al 7.296 0.000 2.118
Cu 5.783 0.000 0.000
Pd -1.938 0.000 3.003
```



# 9
Rb3H8Ir after structural relaxation, computed with PBE. Values from VASP.

Computed properties:
space-group type = No. 139

The structure in Quantum ESPRESSO input format:
```
&SYSTEM
  ibrav = 0, nat = 12, ntyp = 3
/
ATOMIC_SPECIES
Rb 85.47 Rb.upf
H 1.01 H.upf
Ir 192.22 Ir.upf
CELL_PARAMETERS angstrom
-2.884 2.884 5.366
2.884 -2.884 5.366
2.884 2.884 -5.366
ATOMIC_POSITIONS angstrom
Rb 0.000 0.000 0.000
Rb 2.884 0.000 2.683
Rb 0.000 2.884 2.683
H 1.884 1.884 -0.988
H 1.000 -1.000 4.378
H 1.884 1.884 0.988
H 1.000 -1.000 6.354
H -1.000 1.000 4.378
H 1.000 1.000 4.378
H -1.000 1.000 6.354
H 1.000 1.000 6.354
Ir 0.000 0.000 5.366
```



# 10
Cr2FeAgRu after structural relaxation, computed with PBE. Values from VASP.

Computed properties:
space-group type = No. 123

The structure in Quantum ESPRESSO input format:
```
&SYSTEM
  ibrav = 0, nat = 5, ntyp = 4
/
ATOMIC_SPECIES
Cr 52.00 Cr.upf
Fe 55.84 Fe.upf
Ag 107.87 Ag.upf
Ru 101.07 Ru.upf
CELL_PARAMETERS angstrom
4.206 0.000 0.000
0.000 4.206 0.000
0.000 0.000 4.426
ATOMIC_POSITIONS angstrom
Cr 0.000 2.103 0.000
Cr 2.103 0.000 0.000
Fe 0.000 0.000 0.000
Ag 2.103 2.103 2.213
Ru 0.000 0.000 2.213
```



# 11
AlCu2ReB after structural relaxation, computed with PBE. Values from VASP.

Computed properties:
space-group type = No. 123

The structure in Quantum ESPRESSO input format:
```
&SYSTEM
  ibrav = 0, nat = 5, ntyp = 4
/
ATOMIC_SPECIES
Al 26.98 Al.upf
Cu 63.55 Cu.upf
Re 186.21 Re.upf
B 10.81 B.upf
CELL_PARAMETERS angstrom
3.861 0.000 0.000
0.000 3.861 0.000
0.000 0.000 4.242
ATOMIC_POSITIONS angstrom
Al 0.000 0.000 0.000
Cu 0.000 1.930 2.121
Cu 1.930 0.000 2.121
Re 1.930 1.930 0.000
B 0.000 0.000 2.121
```



# 12
Ba2Zn3GeAu4 after structural relaxation, computed with PBE. Values from VASP.

Computed properties:
space-group type = No. 115

The structure in Quantum ESPRESSO input format:
```
&SYSTEM
  ibrav = 0, nat = 10, ntyp = 4
/
ATOMIC_SPECIES
Ba 137.33 Ba.upf
Zn 65.41 Zn.upf
Ge 72.64 Ge.upf
Au 196.97 Au.upf
CELL_PARAMETERS angstrom
4.741 0.000 0.000
0.000 4.741 0.000
0.000 0.000 10.414
ATOMIC_POSITIONS angstrom
Ba 0.000 2.371 2.600
Ba 2.371 0.000 7.813
Zn 0.000 0.000 0.000
Zn 0.000 2.371 6.476
Zn 2.371 0.000 3.938
Ge 2.371 2.371 0.000
Au 0.000 0.000 5.207
Au 0.000 2.371 9.131
Au 2.371 0.000 1.283
Au 2.371 2.371 5.207
```



# 13
Gd2CCl after structural relaxation, computed with PBE. Values from VASP.

Computed properties:
raw formation energy = -1.078 eV per atom
space-group type = No. 166

The structure in Quantum ESPRESSO input format:
```
&SYSTEM
  ibrav = 0, nat = 4, ntyp = 3
/
ATOMIC_SPECIES
Gd 157.25 Gd.upf
C 12.01 C.upf
Cl 35.45 Cl.upf
CELL_PARAMETERS angstrom
1.849 1.067 6.907
-1.849 1.067 6.907
0.000 -2.135 6.907
ATOMIC_POSITIONS angstrom
Gd 0.000 0.000 4.756
Gd 0.000 0.000 15.966
C 0.000 0.000 10.361
Cl 0.000 0.000 0.000
```



# 14
CePu after structural relaxation, computed with PBE. Values from VASP.

Computed properties:
polymorph energy (0 for the lowest one) = 93.1 meV/atom
space-group type = No. 221

The structure in Quantum ESPRESSO input format:
```
&SYSTEM
  ibrav = 0, nat = 2, ntyp = 2
/
ATOMIC_SPECIES
Ce 140.12 Ce.upf
Pu 244.00 Pu.upf
CELL_PARAMETERS angstrom
3.791 0.000 0.000
0.000 3.791 0.000
0.000 0.000 3.791
ATOMIC_POSITIONS angstrom
Ce 0.000 0.000 0.000
Pu 1.896 1.896 1.896
```



# 15
Sm2Be4Rh5 after structural relaxation, computed with PBE. Values from VASP.

Computed properties:
space-group type = No. 69

The structure in Quantum ESPRESSO input format:
```
&SYSTEM
  ibrav = 0, nat = 11, ntyp = 3
/
ATOMIC_SPECIES
Sm 150.36 Sm.upf
Be 9.01 Be.upf
Rh 102.91 Rh.upf
CELL_PARAMETERS angstrom
0.000 4.745 6.164
2.861 0.000 6.164
2.861 4.745 0.000
ATOMIC_POSITIONS angstrom
Sm 2.861 4.745 1.690
Sm 2.861 4.745 10.639
Be 2.861 3.202 4.573
Be 2.861 3.202 7.755
Be 2.861 6.289 4.573
Be 2.861 6.289 7.755
Rh 1.431 2.373 0.000
Rh 1.431 2.373 3.082
Rh 1.431 2.373 6.164
Rh 2.861 4.745 6.164
Rh 4.292 7.118 9.247
```



# 16
Ca2Nd2Rh3 after structural relaxation, computed with PBE. Values from VASP.

Computed properties:
polymorph energy (0 for the lowest one) = 0.0 meV/atom
space-group type = No. 12

The structure in Quantum ESPRESSO input format:
```
&SYSTEM
  ibrav = 0, nat = 7, ntyp = 3
/
ATOMIC_SPECIES
Ca 40.08 Ca.upf
Nd 144.24 Nd.upf
Rh 102.91 Rh.upf
CELL_PARAMETERS angstrom
4.274 -2.472 0.000
4.274 2.472 0.000
-2.844 0.000 8.042
ATOMIC_POSITIONS angstrom
Ca 0.001 0.000 3.081
Ca 5.701 0.000 4.961
Nd 2.850 0.000 1.085
Nd 2.853 0.000 6.958
Rh 0.000 0.000 0.000
Rh 0.004 0.000 6.190
Rh 5.698 0.000 1.853
```



# 17
Ni2SbOs after structural relaxation, computed with PBE. Values from VASP.

Computed properties:
raw formation energy = 0.183 eV per atom
space-group type = No. 119

The structure in Quantum ESPRESSO input format:
```
&SYSTEM
  ibrav = 0, nat = 4, ntyp = 3
/
ATOMIC_SPECIES
Ni 58.69 Ni.upf
Sb 121.76 Sb.upf
Os 190.23 Os.upf
CELL_PARAMETERS angstrom
-1.967 1.967 3.642
1.967 -1.967 3.642
1.967 1.967 -3.642
ATOMIC_POSITIONS angstrom
Ni 0.000 0.000 0.000
Ni 0.000 1.967 1.821
Sb 1.967 0.000 1.821
Os 0.000 0.000 3.642
```



# 18
NpU6P8 after structural relaxation, computed with PBE. Values from VASP.

Computed properties:
space-group type = No. 148

The structure in Quantum ESPRESSO input format:
```
&SYSTEM
  ibrav = 0, nat = 15, ntyp = 3
/
ATOMIC_SPECIES
Np 237.00 Np.upf
U 238.03 U.upf
P 30.97 P.upf
CELL_PARAMETERS angstrom
4.154 2.398 5.229
-4.154 2.398 5.229
0.000 -4.797 5.229
ATOMIC_POSITIONS angstrom
Np 0.000 0.000 0.000
U -1.689 -1.893 6.229
U -2.484 0.516 9.457
U -0.795 2.409 6.229
U 0.795 -2.409 9.457
U 2.484 -0.516 6.229
U 1.689 1.893 9.457
P -2.969 0.505 6.763
P -1.922 -2.319 8.923
P 0.000 0.000 5.238
P 1.047 -2.824 6.763
P -1.047 2.824 8.923
P 0.000 0.000 10.448
P 1.922 2.319 6.763
P 2.969 -0.505 8.923
```



# 19
ZrSc2Cd after structural relaxation, computed with PBE. Values from VASP.

Computed properties:
polymorph energy (0 for the lowest one) = 122.3 meV/atom
space-group type = No. 139

The structure in Quantum ESPRESSO input format:
```
&SYSTEM
  ibrav = 0, nat = 4, ntyp = 3
/
ATOMIC_SPECIES
Zr 91.22 Zr.upf
Sc 44.96 Sc.upf
Cd 112.41 Cd.upf
CELL_PARAMETERS angstrom
-2.234 2.234 4.550
2.234 -2.234 4.550
2.234 2.234 -4.550
ATOMIC_POSITIONS angstrom
Zr 0.000 0.000 0.000
Sc 2.234 0.000 2.275
Sc 0.000 2.234 2.275
Cd 0.000 0.000 4.550
```



# 20
Sm3TlC after structural relaxation, computed with PBE. Values from VASP.

Computed properties:
space-group type = No. 221

The structure in Quantum ESPRESSO input format:
```
&SYSTEM
  ibrav = 0, nat = 5, ntyp = 3
/
ATOMIC_SPECIES
Sm 150.36 Sm.upf
Tl 204.38 Tl.upf
C 12.01 C.upf
CELL_PARAMETERS angstrom
5.057 0.000 0.000
0.000 5.057 0.000
0.000 0.000 5.057
ATOMIC_POSITIONS angstrom
Sm 0.000 0.000 2.528
Sm 0.000 2.528 0.000
Sm 2.528 0.000 0.000
Tl 2.528 2.528 2.528
C 0.000 0.000 0.000
```



no.,Fermi-level density of states (states/eV/f.u.),VASP energy (eV per atom)
1,4.6,-3.37
2,0.6,-4.13
3,5.0,-5.08
4,3.7,-5.29
5,2.6,-5.80
6,12.7,-4.42
7,2.8,-4.90
8,2.6,-3.90
9,0.3,-3.27
10,8.5,-6.75
11,1.6,-5.55
12,3.8,-3.04
13,2.0,-10.89
14,6.7,-9.94
15,5.6,-6.20
16,3.5,-5.59
17,5.4,-6.55
18,21.7,-9.04
19,4.8,-5.58
20,1.9,-5.49